BaTe2IrS8 | PBE | relaxed

Cell lengths 6.170, 6.170, 8.806 Å; angles 90.00, 90.00, 120.00 degrees
Sites, in units of the cell vectors:
Ba (0.000, 0.000, 0.000)
Te (0.333, 0.667, 0.704)
Te (0.667, 0.333, 0.296)
Ir (0.000, 0.000, 0.500)
S (0.077, 0.740, 0.338)
S (0.260, 0.337, 0.338)
S (0.333, 0.667, 0.966)
S (0.337, 0.077, 0.662)
S (0.663, 0.923, 0.338)
S (0.667, 0.333, 0.034)
S (0.740, 0.663, 0.662)
S (0.923, 0.260, 0.662)

**Total magnetic moment**: 0.00 μB/atom
**DFT total energy**: -4.413 eV/atom
**Raw formation energy**: -239.0 meV/atom
**Crystal system**: trigonal

=====

NbBi3Se | PBE | relaxed

Cell lengths 5.448, 5.448, 5.448 Å; angles 90.00, 90.00, 90.00 degrees
Sites, in units of the cell vectors:
Nb (0.000, 0.000, 0.000)
Bi (0.000, 0.000, 0.500)
Bi (0.000, 0.500, 0.000)
Bi (0.500, 0.000, 0.000)
Se (0.500, 0.500, 0.500)

**Total magnetic moment**: 0.00 μB/atom
**DFT total energy**: -4.618 eV/atom
**Raw formation energy**: 421.5 meV/atom
**Energy above the lowest structure with this stoichiometry**: 0.000 eV/atom
**Crystal system**: cubic

=====

Repeat the first record exactly.
BaTe2IrS8 | PBE | relaxed

Cell lengths 6.170, 6.170, 8.806 Å; angles 90.00, 90.00, 120.00 degrees
Sites, in units of the cell vectors:
Ba (0.000, 0.000, 0.000)
Te (0.333, 0.667, 0.704)
Te (0.667, 0.333, 0.296)
Ir (0.000, 0.000, 0.500)
S (0.077, 0.740, 0.338)
S (0.260, 0.337, 0.338)
S (0.333, 0.667, 0.966)
S (0.337, 0.077, 0.662)
S (0.663, 0.923, 0.338)
S (0.667, 0.333, 0.034)
S (0.740, 0.663, 0.662)
S (0.923, 0.260, 0.662)

**Total magnetic moment**: 0.00 μB/atom
**DFT total energy**: -4.413 eV/atom
**Raw formation energy**: -239.0 meV/atom
**Crystal system**: trigonal

=====

Q: What is the formula in the second record?
A: NbBi3Se